! Ac6IrAu3, optimized geometry, DFT PBE-GGA; values from VASP
! - Energy relative to the lowest polymorph listed for this composition: 2.53 kcal/mol of atoms
! - ΔH_f (0 K): -0.531 eV/atom
&SYSTEM
  ibrav = 0, nat = 20, ntyp = 3
/
ATOMIC_SPECIES
Ac 227.00 Ac.upf
Au 196.97 Au.upf
Ir 192.22 Ir.upf
CELL_PARAMETERS angstrom
7.768 0.000 0.000
0.000 9.819 0.011
0.000 -2.180 9.574
ATOMIC_POSITIONS angstrom
Ac 1.328 6.935 2.310
Ac 1.399 5.352 6.180
Ac 5.212 0.704 7.275
Ac 1.987 -2.069 9.486
Ac 5.233 5.528 0.950
Ac 1.349 -0.308 5.601
Ac 1.399 2.809 2.989
Ac 5.871 9.708 0.099
Ac 5.283 4.830 6.596
Ac 5.283 2.287 3.405
Ac 5.233 7.947 3.984
Ac 1.349 2.110 8.635
Au 7.622 4.918 8.903
Au 7.622 0.058 2.805
Au 6.922 5.034 3.825
Au 3.738 2.721 0.682
Au 3.738 7.581 6.780
Au 3.037 2.605 5.760
Ir 7.749 -0.393 8.149
Ir 3.865 8.032 1.436

***

! LiPmPaSe3, optimized geometry, DFT PBE-GGA; values from VASP
! - Formation energy from raw total energies: -136 kJ/mol of atoms
&SYSTEM
  ibrav = 0, nat = 12, ntyp = 4
/
ATOMIC_SPECIES
Se 78.96 Se.upf
Li 6.94 Li.upf
Pa 231.04 Pa.upf
Pm 145.00 Pm.upf
CELL_PARAMETERS angstrom
-2.692 0.637 2.805
3.922 -5.740 5.068
3.801 7.734 1.891
ATOMIC_POSITIONS angstrom
Se 0.444 -0.423 4.672
Se 2.010 -3.714 6.923
Se 3.021 6.345 2.841
Se 4.261 -0.504 5.588
Se 4.587 3.054 5.092
Se 0.770 3.135 4.176
Li 1.898 4.210 2.248
Li 3.133 -1.579 7.516
Pa 2.409 -2.463 4.255
Pa 2.622 5.094 5.509
Pm 0.926 0.825 2.085
Pm 4.105 1.806 7.679

***

! ZrIn2, optimized geometry, DFT PBE-GGA; values from VASP
! - ΔH_f (0 K): -0.094 eV/atom
&SYSTEM
  ibrav = 0, nat = 6, ntyp = 2
/
ATOMIC_SPECIES
In 114.82 In.upf
Zr 91.22 Zr.upf
CELL_PARAMETERS angstrom
-4.472 -3.602 -1.752
-1.672 -5.373 -2.093
-1.797 -4.045 6.265
ATOMIC_POSITIONS angstrom
In -1.415 -3.046 4.207
In -6.526 -9.973 -1.787
In -2.277 -3.383 -1.124
In -5.664 -9.636 3.544
Zr -4.915 -7.703 -0.347
Zr -3.026 -5.316 2.768

***

! TeN2Cl6, optimized geometry, DFT PBE-GGA; values from VASP
! - Formation energy from raw total energies: 84 kJ/mol of atoms
&SYSTEM
  ibrav = 0, nat = 9, ntyp = 3
/
ATOMIC_SPECIES
Cl 35.45 Cl.upf
N 14.01 N.upf
Te 127.60 Te.upf
CELL_PARAMETERS angstrom
0.000 5.353 5.353
5.353 0.000 5.353
5.353 5.353 0.000
ATOMIC_POSITIONS angstrom
Cl 2.369 5.353 5.353
Cl 5.353 8.337 5.353
Cl 5.353 2.369 5.353
Cl 5.353 5.353 2.369
Cl 8.337 5.353 5.353
Cl 5.353 5.353 8.337
N 2.677 2.677 2.677
N 8.030 8.030 8.030
Te 0.000 0.000 0.000

***

! TbPr4Y, optimized geometry, DFT PBE-GGA; values from VASP
! - Energy relative to the lowest polymorph listed for this composition: 5.14 kcal/mol of atoms
! - ΔH_f (0 K): 0.597 eV/atom
&SYSTEM
  ibrav = 0, nat = 6, ntyp = 3
/
ATOMIC_SPECIES
Pr 140.91 Pr.upf
Y 88.91 Y.upf
Tb 158.93 Tb.upf
CELL_PARAMETERS angstrom
3.518 0.000 0.000
0.001 8.374 -0.020
0.000 -0.006 8.374
ATOMIC_POSITIONS angstrom
Pr 1.759 2.174 6.191
Pr 1.759 6.195 2.163
Pr 0.001 6.370 6.359
Pr 3.518 1.998 1.995
Y 0.000 4.184 4.177
Tb 1.759 0.000 0.000

***

! ZrHPt, optimized geometry, DFT PBE-GGA; values from VASP
! - Energy relative to the lowest polymorph listed for this composition: 2.93 kcal/mol of atoms
&SYSTEM
  ibrav = 0, nat = 12, ntyp = 3
/
ATOMIC_SPECIES
Pt 195.08 Pt.upf
H 1.01 H.upf
Zr 91.22 Zr.upf
CELL_PARAMETERS angstrom
-2.771 1.164 -3.111
-0.591 -3.550 -0.803
-7.712 -0.309 7.040
ATOMIC_POSITIONS angstrom
Pt -5.679 -1.902 4.118
Pt -8.379 -1.381 3.802
Pt -1.528 0.028 0.999
Pt -4.228 0.549 0.684
H -1.735 -1.751 0.550
H -10.091 -1.070 3.685
H -5.295 -0.130 4.471
H -5.940 0.860 0.567
Zr -6.345 0.463 2.619
Zr -2.784 -1.157 -1.303
Zr -7.141 -0.187 6.080
Zr -3.580 -1.808 2.158

***

! LaNiBi2, optimized geometry, DFT PBE-GGA; values from VASP
! - ΔH_f (0 K): -0.059 eV/atom
&SYSTEM
  ibrav = 0, nat = 4, ntyp = 3
/
ATOMIC_SPECIES
Bi 208.98 Bi.upf
La 138.91 La.upf
Ni 58.69 Ni.upf
CELL_PARAMETERS angstrom
0.000 3.757 3.757
3.757 0.000 3.757
3.757 3.757 0.000
ATOMIC_POSITIONS angstrom
Bi 5.635 5.635 5.635
Bi 1.878 1.878 1.878
La 3.757 3.757 3.757
Ni 0.000 0.000 0.000

***

! Hf5SnSb2, optimized geometry, DFT PBE-GGA; values from VASP
! - Formation energy from raw total energies: -24 kJ/mol of atoms
&SYSTEM
  ibrav = 0, nat = 8, ntyp = 3
/
ATOMIC_SPECIES
Sn 118.71 Sn.upf
Sb 121.76 Sb.upf
Hf 178.49 Hf.upf
CELL_PARAMETERS angstrom
6.852 0.003 0.000
0.003 6.852 0.000
-3.427 -3.427 3.733
ATOMIC_POSITIONS angstrom
Sn 0.000 0.000 1.296
Sb 0.002 3.426 1.724
Sb 3.426 0.002 1.724
Hf -1.569 -1.569 3.521
Hf 3.428 3.427 1.907
Hf 1.567 -1.566 3.521
Hf -1.566 1.567 3.521
Hf 1.570 1.570 3.521

***

no.,calculated volume (Å³/atom),size of the total moment (μB/atom)
1,36.52,0.00
2,24.05,0.22
3,23.69,0.00
4,34.09,0.65
5,41.12,0.00
6,13.88,0.00
7,26.51,0.00
8,21.91,0.00